The following is a DFT calculation (PBE+U) of a geometry-optimized TlNiRu2O8 structure.

Summary:
* M_tot: 5.04 μB per formula unit
* raw total energy: -72.50 eV per formula unit
* DOS at the Fermi energy: 0.531 states/eV/atom

Cell: 5.3190 5.3190 7.8936 Å, 93.19 93.19 66.18°
Last column: nearest neighbours and their distance in Å.
Atoms (fractional coordinates):
Tl  0.0000  0.0000  0.0000  6 O 2.84-2.89
Ni  0.0000  0.0000  0.5000  6 O 2.03-2.07
Ru  0.3733  0.3733  0.7063  4 O 1.76-1.79
Ru  0.6267  0.6267  0.2937  4 O 1.76-1.79
O  0.2269  0.2269  0.5440  1 Ru 1.77
O  0.2284  0.7397  0.6883  1 Ru 1.79
O  0.2603  0.7716  0.3117  1 Ru 1.79
O  0.3095  0.3095  0.9121  1 Ru 1.76
O  0.6905  0.6905  0.0879  1 Ru 1.76
O  0.7397  0.2284  0.6883  1 Ru 1.79
O  0.7716  0.2603  0.3117  1 Ru 1.79
O  0.7731  0.7731  0.4560  1 Ru 1.77